# CrHBrO2 PBE+U relaxed
# crystal system: monoclinic
# calculated total energy: -5.568 eV/atom
data_CrHBrO2
_chemical_formula_sum 'Cr2 H2 Br2 O4'
_cell_length_a 7.626
_cell_length_b 2.917
_cell_length_c 8.232
_cell_angle_alpha 90.00
_cell_angle_beta 111.29
_cell_angle_gamma 90.00
_space_group_name_H-M_alt 'P 1 21/m 1'
_space_group_IT_number 11
_space_group_name_Hall '-P 2yb'
loop_
_atom_site_label
_atom_site_fract_x
_atom_site_fract_y
_atom_site_fract_z
_atom_site_occupancy
Cr1 0.135 0.250 0.146 1
H1 0.221 0.750 0.433 1
Br1 0.422 0.250 0.727 1
O1 0.130 0.750 0.988 1
O2 0.145 0.750 0.308 1